# 1
# TmLuThTc

An optimized crystal structure of TmLuThTc (PBE-GGA, the Alexandria database).

a b c (Å): 7.3198 7.3198 7.3198
angles (deg): 90.00 90.00 90.00
Closest atoms and distances in Å follow each position.
Positions (direct):
Tm: 0.0000 0.0000 0.0000  4 Tc 3.17, 4 Lu 3.17
Tm: 0.0000 0.5000 0.5000  4 Tc 3.17, 4 Lu 3.17
Tm: 0.5000 0.0000 0.5000  4 Tc 3.17, 4 Lu 3.17
Tm: 0.5000 0.5000 0.0000  4 Tc 3.17, 4 Lu 3.17
Lu: 0.2500 0.2500 0.7500  4 Th 3.17, 4 Tm 3.17
Lu: 0.2500 0.7500 0.2500  4 Th 3.17, 4 Tm 3.17
Lu: 0.7500 0.2500 0.2500  4 Th 3.17, 4 Tm 3.17
Lu: 0.7500 0.7500 0.7500  4 Th 3.17, 4 Tm 3.17
Th: 0.0000 0.0000 0.5000  4 Tc 3.17, 4 Lu 3.17
Th: 0.0000 0.5000 0.0000  4 Tc 3.17, 4 Lu 3.17
Th: 0.5000 0.0000 0.0000  4 Tc 3.17, 4 Lu 3.17
Th: 0.5000 0.5000 0.5000  4 Tc 3.17, 4 Lu 3.17
Tc: 0.2500 0.2500 0.2500  4 Th 3.17, 4 Tm 3.17
Tc: 0.2500 0.7500 0.7500  4 Th 3.17, 4 Tm 3.17
Tc: 0.7500 0.2500 0.7500  4 Th 3.17, 4 Tm 3.17
Tc: 0.7500 0.7500 0.2500  4 Th 3.17, 4 Tm 3.17

Calculated values
ΔE_f = 0.125 eV/atom
crystal system = cubic


# 2
# Si2Ag

An optimized crystal structure of Si2Ag (PBE-GGA, the Alexandria database).

a b c (Å): 7.8008 7.8008 2.9202
angles (deg): 90.00 90.00 120.00
Closest atoms and distances in Å follow each position.
Positions (direct):
Si: 0.0000 0.3056 0.0000  2 Si 2.60, 4 Ag 2.71-2.80
Si: 0.0000 0.5816 0.5000  2 Si 2.60, 4 Ag 2.76
Si: 0.3056 0.0000 0.0000  2 Si 2.60, 4 Ag 2.71-2.80
Si: 0.4184 0.4184 0.5000  2 Si 2.60, 4 Ag 2.76
Si: 0.5816 0.0000 0.5000  2 Si 2.60, 4 Ag 2.76
Si: 0.6944 0.6944 0.0000  2 Si 2.60, 4 Ag 2.71-2.80
Ag: 0.0000 0.0000 0.5000  6 Si 2.80, 2 Ag 2.92
Ag: 0.3333 0.6667 0.0000  9 Si 2.71-2.76, 2 Ag 2.92
Ag: 0.6667 0.3333 0.0000  9 Si 2.71-2.76, 2 Ag 2.92

Calculated values
crystal system = hexagonal
energy relative to the elements, uncorrected = 145 kJ/mol of formula units
excess energy over the best structure of this formula in the dataset = 188 meV/atom


# 3
# AcHoNiPd

An optimized crystal structure of AcHoNiPd (PBE-GGA, the Alexandria database).

a b c (Å): 7.2167 7.2167 7.2167
angles (deg): 90.00 90.00 90.00
Closest atoms and distances in Å follow each position.
Positions (direct):
Ac: 0.0000 0.0000 0.0000  4 Pd 3.12, 4 Ni 3.12
Ac: 0.0000 0.5000 0.5000  4 Pd 3.12, 4 Ni 3.12
Ac: 0.5000 0.0000 0.5000  4 Pd 3.12, 4 Ni 3.12
Ac: 0.5000 0.5000 0.0000  4 Pd 3.12, 4 Ni 3.12
Ho: 0.0000 0.0000 0.5000  4 Ni 3.12, 4 Pd 3.12
Ho: 0.0000 0.5000 0.0000  4 Ni 3.12, 4 Pd 3.12
Ho: 0.5000 0.0000 0.0000  4 Ni 3.12, 4 Pd 3.12
Ho: 0.5000 0.5000 0.5000  4 Ni 3.12, 4 Pd 3.12
Ni: 0.2500 0.2500 0.7500  4 Ac 3.12, 4 Ho 3.12
Ni: 0.2500 0.7500 0.2500  4 Ac 3.12, 4 Ho 3.12
Ni: 0.7500 0.2500 0.2500  4 Ac 3.12, 4 Ho 3.12
Ni: 0.7500 0.7500 0.7500  4 Ac 3.12, 4 Ho 3.12
Pd: 0.2500 0.2500 0.2500  4 Ho 3.12, 4 Ac 3.12
Pd: 0.2500 0.7500 0.7500  4 Ho 3.12, 4 Ac 3.12
Pd: 0.7500 0.2500 0.7500  4 Ho 3.12, 4 Ac 3.12
Pd: 0.7500 0.7500 0.2500  4 Ho 3.12, 4 Ac 3.12

Calculated values
ΔE_f = -0.449 eV/atom
crystal system = cubic


# 4
# ErTh6Sc2

An optimized crystal structure of ErTh6Sc2 (PBE-GGA, the Alexandria database).

a b c (Å): 3.4893 3.4893 26.2799
angles (deg): 90.00 90.00 120.00
Closest atoms and distances in Å follow each position.
Positions (direct):
Er: 0.0000 0.0000 0.0000  6 Er 3.49, 6 Th 3.57
Th: 0.0000 0.0000 0.2245  3 Sc 3.45, 9 Th 3.49-3.57
Th: 0.0000 0.0000 0.4361  7 Th 3.36-3.49, 3 Sc 3.42
Th: 0.0000 0.0000 0.5639  7 Th 3.36-3.49, 3 Sc 3.42
Th: 0.0000 0.0000 0.7755  3 Sc 3.45, 9 Th 3.49-3.57
Th: 0.3333 0.6667 0.1122  9 Th 3.49-3.57, 3 Er 3.57
Th: 0.3333 0.6667 0.8878  9 Th 3.49-3.57, 3 Er 3.57
Sc: 0.3333 0.6667 0.3312  6 Th 3.42-3.45, 6 Sc 3.49
Sc: 0.3333 0.6667 0.6688  6 Th 3.42-3.45, 6 Sc 3.49

Calculated values
ΔE_f = 0.092 eV/atom
crystal system = hexagonal
excess energy over the best structure of this formula in the dataset = 0 meV/atom


# 5
# TaAlTe2

An optimized crystal structure of TaAlTe2 (PBE-GGA, the Alexandria database).

a b c (Å): 6.4923 6.4923 12.3484
angles (deg): 90.00 90.00 90.00
Closest atoms and distances in Å follow each position.
Positions (direct):
Ta: 0.0000 0.0000 0.0000  4 Te 2.73
Ta: 0.0000 0.5000 0.2500  4 Te 2.73
Ta: 0.5000 0.0000 0.7500  4 Te 2.73
Ta: 0.5000 0.5000 0.5000  4 Te 2.73
Al: 0.0000 0.0000 0.5000  4 Te 2.81
Al: 0.0000 0.5000 0.7500  4 Te 2.81
Al: 0.5000 0.0000 0.2500  4 Te 2.81
Al: 0.5000 0.5000 0.0000  4 Te 2.81
Te: 0.2397 0.2500 0.1250  2 Ta 2.73, 2 Al 2.81
Te: 0.2500 0.7397 0.3750  2 Ta 2.73, 2 Al 2.81
Te: 0.2500 0.7603 0.8750  2 Ta 2.73, 2 Al 2.81
Te: 0.2603 0.2500 0.6250  2 Ta 2.73, 2 Al 2.81
Te: 0.7397 0.7500 0.6250  2 Ta 2.73, 2 Al 2.81
Te: 0.7500 0.2397 0.8750  2 Ta 2.73, 2 Al 2.81
Te: 0.7500 0.2603 0.3750  2 Ta 2.73, 2 Al 2.81
Te: 0.7603 0.7500 0.1250  2 Ta 2.73, 2 Al 2.81

Calculated values
crystal system = tetragonal
energy relative to the elements, uncorrected = 174 kJ/mol of formula units


# 6
# La2FePt

An optimized crystal structure of La2FePt (PBE-GGA, the Alexandria database).

a b c (Å): 3.4758 3.4758 8.4225
angles (deg): 90.00 90.00 90.00
Closest atoms and distances in Å follow each position.
Positions (direct):
La: 0.0000 0.0000 0.0000  1 Pt 3.14, 4 Fe 3.18, 4 La 3.48
La: 0.5000 0.5000 0.4079  1 Fe 2.97, 4 Pt 3.08
Fe: 0.5000 0.5000 0.7607  4 Pt 2.70, 1 La 2.97
Pt: 0.0000 0.0000 0.6276  4 Fe 2.70

Calculated values
ΔE_f = -0.173 eV/atom
crystal system = tetragonal


# 7
# Er2Mg3Ag

An optimized crystal structure of Er2Mg3Ag (PBE-GGA, the Alexandria database).

a b c (Å): 3.2903 5.0641 8.7297
angles (deg): 90.00 90.00 90.00
Closest atoms and distances in Å follow each position.
Positions (direct):
Er: 0.0000 0.0000 0.0000  2 Ag 3.22, 2 Er 3.29, 10 Mg 3.30-3.49
Er: 0.0000 0.5000 0.4709  8 Mg 3.23-3.42, 2 Er 3.29, 4 Ag 3.30
Mg: 0.5000 0.0000 0.6469  1 Ag 2.87, 2 Mg 2.93
Mg: 0.5000 0.5000 0.1525  2 Ag 2.91, 1 Mg 2.95, 2 Er 3.23
Mg: 0.5000 0.5000 0.8150  3 Mg 2.93-2.95
Ag: 0.5000 0.0000 0.3176  3 Mg 2.87-2.91

Calculated values
ΔE_f = -0.106 eV/atom
crystal system = orthorhombic


# 8
# Tm6Cd2Hg

An optimized crystal structure of Tm6Cd2Hg (PBE-GGA, the Alexandria database).

a b c (Å): 9.8460 9.8460 5.0495
angles (deg): 90.00 90.00 90.00
Closest atoms and distances in Å follow each position.
Positions (direct):
Tm: 0.0179 0.3238 0.0000  3 Cd 3.13-3.33, 1 Hg 3.19, 3 Tm 3.49
Tm: 0.1260 0.8740 0.5000  2 Hg 3.07, 2 Cd 3.30
Tm: 0.1762 0.5179 0.5000  3 Cd 3.13-3.33, 1 Hg 3.19, 3 Tm 3.49
Tm: 0.3238 0.0179 0.0000  3 Cd 3.13-3.33, 1 Hg 3.19, 3 Tm 3.49
Tm: 0.3740 0.3740 0.0000  2 Hg 3.07, 2 Cd 3.30
Tm: 0.4821 0.8238 0.5000  3 Cd 3.13-3.33, 1 Hg 3.19, 3 Tm 3.49
Tm: 0.5179 0.1762 0.5000  3 Cd 3.13-3.33, 1 Hg 3.19, 3 Tm 3.49
Tm: 0.6260 0.6260 0.0000  2 Hg 3.07, 2 Cd 3.30
Tm: 0.6762 0.9821 0.0000  3 Cd 3.13-3.33, 1 Hg 3.19, 3 Tm 3.49
Tm: 0.8238 0.4821 0.5000  3 Cd 3.13-3.33, 1 Hg 3.19, 3 Tm 3.49
Tm: 0.8740 0.1260 0.5000  2 Hg 3.07, 2 Cd 3.30
Tm: 0.9821 0.6762 0.0000  3 Cd 3.13-3.33, 1 Hg 3.19, 3 Tm 3.49
Cd: 0.2006 0.2006 0.5000  10 Tm 3.13-3.49
Cd: 0.2994 0.7006 0.0000  10 Tm 3.13-3.49
Cd: 0.7006 0.2994 0.0000  10 Tm 3.13-3.49
Cd: 0.7994 0.7994 0.5000  10 Tm 3.13-3.49
Hg: 0.0000 0.0000 0.0000  8 Tm 3.07-3.19
Hg: 0.5000 0.5000 0.5000  8 Tm 3.07-3.19

Calculated values
ΔE_f = -0.194 eV/atom
crystal system = tetragonal


# 9
# ZrCr2Cl

An optimized crystal structure of ZrCr2Cl (PBE-GGA, the Alexandria database).

a b c (Å): 3.1501 3.1501 25.8872
angles (deg): 90.00 90.00 120.00
Closest atoms and distances in Å follow each position.
Positions (direct):
Zr: 0.0000 0.0000 0.0000  3 Cl 2.64, 3 Cr 2.88
Zr: 0.3333 0.6667 0.6667  3 Cl 2.64, 3 Cr 2.88
Zr: 0.6667 0.3333 0.3333  3 Cl 2.64, 3 Cr 2.88
Cr: 0.0000 0.0000 0.2470  3 Cr 2.45
Cr: 0.0000 0.0000 0.5171  3 Cr 2.45
Cr: 0.3333 0.6667 0.1838  3 Cr 2.45
Cr: 0.3333 0.6667 0.9137  3 Cr 2.45
Cr: 0.6667 0.3333 0.5803  3 Cr 2.45
Cr: 0.6667 0.3333 0.8505  3 Cr 2.45
Cl: 0.0000 0.0000 0.7404  3 Zr 2.64
Cl: 0.3333 0.6667 0.4071  3 Zr 2.64
Cl: 0.6667 0.3333 0.0737  3 Zr 2.64

Calculated values
crystal system = trigonal
energy relative to the elements, uncorrected = 14 kJ/mol of formula units
excess energy over the best structure of this formula in the dataset = 150 meV/atom


# 10
# ZnNiOs2

An optimized crystal structure of ZnNiOs2 (PBE-GGA, the Alexandria database).

a b c (Å): 2.9829 4.2348 8.3247
angles (deg): 90.00 90.00 90.00
Closest atoms and distances in Å follow each position.
Positions (direct):
Zn: 0.0000 0.0000 0.0000  2 Ni 2.40, 6 Os 2.60-2.61
Zn: 0.5000 0.5000 0.5000  2 Ni 2.40, 6 Os 2.60-2.61
Ni: 0.0000 0.5000 0.7255  2 Zn 2.40, 6 Os 2.59
Ni: 0.5000 0.0000 0.2255  2 Zn 2.40, 6 Os 2.59
Os: 0.0000 0.0000 0.4803  2 Ni 2.59, 4 Zn 2.60, 4 Os 2.65-2.90
Os: 0.0000 0.5000 0.2430  4 Ni 2.59, 2 Zn 2.61, 4 Os 2.65-2.90
Os: 0.5000 0.0000 0.7430  4 Ni 2.59, 2 Zn 2.61, 4 Os 2.65-2.90
Os: 0.5000 0.5000 0.9803  2 Ni 2.59, 4 Zn 2.60, 4 Os 2.65-2.90

Calculated values
ΔE_f = 0.222 eV/atom
crystal system = orthorhombic


# 11
# Rb2VPb2

An optimized crystal structure of Rb2VPb2 (PBE-GGA, the Alexandria database).

a b c (Å): 4.4290 4.4290 23.1760
angles (deg): 90.00 90.00 90.00
Closest atoms and distances in Å follow each position.
Positions (direct):
Rb: 0.0000 0.0000 0.1031  4 V 3.94, 4 Pb 4.06
Rb: 0.0000 0.0000 0.8969  4 V 3.94, 4 Pb 4.06
Rb: 0.5000 0.5000 0.3969  4 V 3.94, 4 Pb 4.06
Rb: 0.5000 0.5000 0.6031  4 V 3.94, 4 Pb 4.06
V: 0.0000 0.0000 0.5000  8 Rb 3.94
V: 0.5000 0.5000 0.0000  8 Rb 3.94
Pb: 0.0000 0.5000 0.2500  4 Pb 3.13
Pb: 0.0000 0.5000 0.7500  4 Pb 3.13
Pb: 0.5000 0.0000 0.2500  4 Pb 3.13
Pb: 0.5000 0.0000 0.7500  4 Pb 3.13

Calculated values
ΔE_f = 0.750 eV/atom
crystal system = tetragonal
excess energy over the best structure of this formula in the dataset = 0 meV/atom


# 12
# CdSiRhCl

An optimized crystal structure of CdSiRhCl (PBE-GGA, the Alexandria database).

a b c (Å): 3.2067 2.9888 7.9958
angles (deg): 90.00 101.67 90.00
Closest atoms and distances in Å follow each position.
Positions (direct):
Cd: 0.0000 0.0000 0.0000  4 Rh 2.96, 4 Cd 2.99-3.21, 1 Si 3.06, 2 Cl 3.11-3.12
Si: 0.1963 0.0000 0.3903  1 Cl 2.11
Rh: 0.6272 0.5000 0.2535  4 Si 2.44
Cl: 0.3314 0.0000 0.6595  1 Si 2.11

Calculated values
crystal system = monoclinic
energy relative to the elements, uncorrected = -204 kJ/mol of formula units
excess energy over the best structure of this formula in the dataset = 0 meV/atom


It is found that the density of states at the Fermi level values, taken in the order of the records, are 1.351; 0.464; 0.931; 1.802; 0.430; 1.395; 0.706; 1.341; 0.473; 0.733; 2.093; 0.322 states/eV/atom.
It is found that the E_tot values, taken in the order of the records, are -105.11; -36.57; -85.83; -60.92; -80.31; -25.05; -17.39; -61.42; -88.49; -57.25; -29.44; -17.65 eV for the cell shown.